# 1
NdTm2Ga, relaxed, DFT PBE-GGA; energy of formation = -0.192 eV/atom; space group = R3m, No. 160; total DFT energy (no corrections) = -4.38 eV/atom; spin magnetization = 0.0 μB/f.u.
1.0
3.581 0.000 0.000
1.790 3.101 0.000
1.790 1.034 10.245
Ga Nd Tm
1 1 2
direct
0.666 0.666 0.001
0.500 0.500 0.499
0.264 0.264 0.209
0.070 0.070 0.791

# 2
NdTmGa4, relaxed, DFT PBE-GGA; energy of formation = -0.636 eV/atom; space group = Immm, No. 71; total DFT energy (no corrections) = -4.19 eV/atom; spin magnetization = 0.0 μB/f.u.
1.0
-3.591 1.837 1.311
-4.559 -3.797 -0.307
-0.415 -0.142 5.925
Tm Ga Nd
1 4 1
direct
0.000 0.500 0.000
0.667 0.581 0.586
0.667 0.086 0.081
0.333 0.914 0.919
0.333 0.419 0.414
0.000 0.000 0.500

# 3
NdTm3Ga4, relaxed, DFT PBE-GGA; energy of formation = -0.560 eV/atom; space group = P4/mmm, No. 123; total DFT energy (no corrections) = -4.35 eV/atom; spin magnetization = 0.0 μB/f.u.
1.0
5.047 0.000 0.000
0.000 7.141 0.000
0.000 0.000 10.096
Ga Tm Nd
8 6 2
direct
0.500 0.761 0.500
0.500 0.239 0.500
0.500 0.761 0.000
0.001 0.239 0.750
0.999 0.761 0.250
0.001 0.761 0.750
0.999 0.239 0.250
0.500 0.239 0.000
0.000 0.000 0.000
0.499 0.500 0.250
0.000 0.000 0.500
0.501 0.500 0.750
0.500 0.000 0.250
0.500 0.000 0.750
0.000 0.500 0.000
0.000 0.500 0.500

# 4
NdTm2Ga9, relaxed, DFT PBE-GGA; energy of formation = -0.514 eV/atom; space group = P4/mmm, No. 123; total DFT energy (no corrections) = -3.93 eV/atom; spin magnetization = 0.0 μB/f.u.
1.0
4.290 0.000 0.000
0.000 4.290 0.000
0.000 0.000 12.838
Ga Tm Nd
9 2 1
direct
0.500 0.000 0.826
0.500 0.500 0.334
0.500 0.500 0.666
0.500 0.000 0.500
0.500 0.000 0.174
0.000 0.500 0.826
0.000 0.500 0.174
0.000 0.500 0.500
0.500 0.500 0.000
0.000 0.000 0.337
0.000 0.000 0.663
0.000 0.000 0.000